Entry 1:
The following is a PBE-GGA calculation of RePtW after structural relaxation, from Alexandria. Values from VASP.

Crystal system = tetragonal
Excess energy over the best structure of this formula in the dataset = 13.8 kJ/mol of atoms
Spin magnetization = 0.00 μB per formula unit
ΔH_f (0 K) = 0.001 eV/atom
Density of states at the Fermi level = 0.928 states/eV per atom

Cell and atoms, written as Quantum ESPRESSO input:
```
&SYSTEM
  ibrav = 0, nat = 3, ntyp = 3
/
ATOMIC_SPECIES
Pt 195.08 Pt.upf
Re 186.21 Re.upf
W 183.84 W.upf
CELL_PARAMETERS angstrom
-1.918 5.372 -2.731
-4.156 4.594 -1.274
0.592 1.913 1.931
ATOMIC_POSITIONS angstrom
Pt 0.588 1.918 1.927
Re -3.872 7.306 -2.044
W -1.606 4.568 -0.026
```


Entry 2:
The following is a PBE-GGA calculation of RePt2W after structural relaxation, from Alexandria. Values from VASP.

Crystal system = tetragonal
Excess energy over the best structure of this formula in the dataset = 1.6 kJ/mol of atoms
Spin magnetization = 0.00 μB per formula unit
ΔH_f (0 K) = -0.120 eV/atom
Density of states at the Fermi level = 0.822 states/eV per atom

Cell and atoms, written as Quantum ESPRESSO input:
```
&SYSTEM
  ibrav = 0, nat = 4, ntyp = 3
/
ATOMIC_SPECIES
W 183.84 W.upf
Pt 195.08 Pt.upf
Re 186.21 Re.upf
CELL_PARAMETERS angstrom
3.856 0.000 0.000
0.000 3.856 0.000
0.000 0.000 4.127
ATOMIC_POSITIONS angstrom
W 0.000 1.928 2.064
Pt 0.000 0.000 0.000
Re 1.928 0.000 2.064
Pt 1.928 1.928 0.000
```


Entry 3:
The following is a PBE-GGA calculation of RePt2W after structural relaxation, from Alexandria. Values from VASP.

Crystal system = tetragonal
Excess energy over the best structure of this formula in the dataset = 6.1 kJ/mol of atoms
Spin magnetization = 0.00 μB per formula unit
ΔH_f (0 K) = -0.073 eV/atom
Density of states at the Fermi level = 0.894 states/eV per atom

Cell and atoms, written as Quantum ESPRESSO input:
```
&SYSTEM
  ibrav = 0, nat = 4, ntyp = 3
/
ATOMIC_SPECIES
Re 186.21 Re.upf
Pt 195.08 Pt.upf
W 183.84 W.upf
CELL_PARAMETERS angstrom
-2.539 0.790 -0.631
0.463 -0.604 -2.624
-2.705 -7.669 1.286
ATOMIC_POSITIONS angstrom
Re -1.714 -1.824 -1.306
Pt -1.342 -3.804 0.638
W -3.067 -5.658 -0.663
Pt -0.011 -0.030 0.005
```


Entry 4:
The following is a PBE-GGA calculation of RePt2W after structural relaxation, from Alexandria. Values from VASP.

Crystal system = orthorhombic
Excess energy over the best structure of this formula in the dataset = 5.0 kJ/mol of atoms
Spin magnetization = 0.00 μB per formula unit
ΔH_f (0 K) = -0.085 eV/atom
Density of states at the Fermi level = 0.967 states/eV per atom

Cell and atoms, written as Quantum ESPRESSO input:
```
&SYSTEM
  ibrav = 0, nat = 4, ntyp = 3
/
ATOMIC_SPECIES
Re 186.21 Re.upf
Pt 195.08 Pt.upf
W 183.84 W.upf
CELL_PARAMETERS angstrom
4.118 0.000 0.000
0.000 2.733 0.007
0.000 2.723 5.467
ATOMIC_POSITIONS angstrom
Re 2.059 1.364 1.368
Pt 0.000 2.728 2.731
W 2.059 4.092 4.105
Pt 0.000 2.733 0.013
```


Entry 5:
The following is a PBE-GGA calculation of RePt4W after structural relaxation, from Alexandria. Values from VASP.

Crystal system = cubic
Spin magnetization = 0.00 μB per formula unit
ΔH_f (0 K) = 0.398 eV/atom
Density of states at the Fermi level = 0.640 states/eV per atom

Cell and atoms, written as Quantum ESPRESSO input:
```
&SYSTEM
  ibrav = 0, nat = 6, ntyp = 3
/
ATOMIC_SPECIES
W 183.84 W.upf
Pt 195.08 Pt.upf
Re 186.21 Re.upf
CELL_PARAMETERS angstrom
0.000 3.643 3.643
3.643 0.000 3.643
3.643 3.643 0.000
ATOMIC_POSITIONS angstrom
W 0.000 0.000 0.000
Pt 4.552 2.734 4.552
Pt 4.552 4.552 2.734
Re 5.465 5.465 5.465
Pt 2.734 2.734 2.734
Pt 2.734 4.552 4.552
```


Entry 6:
The following is a PBE-GGA calculation of RePt2W after structural relaxation, from Alexandria. Values from VASP.

Crystal system = orthorhombic
Excess energy over the best structure of this formula in the dataset = 0.0 kJ/mol of atoms
Spin magnetization = 0.00 μB per formula unit
ΔH_f (0 K) = -0.137 eV/atom
Density of states at the Fermi level = 0.703 states/eV per atom

Cell and atoms, written as Quantum ESPRESSO input:
```
&SYSTEM
  ibrav = 0, nat = 4, ntyp = 3
/
ATOMIC_SPECIES
Re 186.21 Re.upf
W 183.84 W.upf
Pt 195.08 Pt.upf
CELL_PARAMETERS angstrom
2.724 0.000 0.000
0.000 4.013 0.000
0.000 0.000 5.649
ATOMIC_POSITIONS angstrom
Re 0.000 0.000 2.804
W 1.362 2.006 4.244
Pt 1.362 2.006 1.452
Pt 0.000 0.000 5.624
```


Entry 7:
The following is a PBE-GGA calculation of RePt2W after structural relaxation, from Alexandria. Values from VASP.

Crystal system = trigonal
Excess energy over the best structure of this formula in the dataset = 11.2 kJ/mol of atoms
Spin magnetization = 0.00 μB per formula unit
ΔH_f (0 K) = -0.020 eV/atom
Density of states at the Fermi level = 0.952 states/eV per atom

Cell and atoms, written as Quantum ESPRESSO input:
```
&SYSTEM
  ibrav = 0, nat = 4, ntyp = 3
/
ATOMIC_SPECIES
Pt 195.08 Pt.upf
W 183.84 W.upf
Re 186.21 Re.upf
CELL_PARAMETERS angstrom
-6.565 6.384 1.820
-8.139 4.100 2.026
-6.674 4.981 4.220
ATOMIC_POSITIONS angstrom
Pt -21.361 15.452 8.060
W -16.034 11.599 6.050
Re -5.345 3.866 2.017
Pt -10.707 7.745 4.040
```


Entry 8:
The following is a PBE-GGA calculation of RePt2W after structural relaxation, from Alexandria. Values from VASP.

Crystal system = tetragonal
Excess energy over the best structure of this formula in the dataset = 29.9 kJ/mol of atoms
Spin magnetization = 0.00 μB per formula unit
ΔH_f (0 K) = 0.173 eV/atom
Density of states at the Fermi level = 0.849 states/eV per atom

Cell and atoms, written as Quantum ESPRESSO input:
```
&SYSTEM
  ibrav = 0, nat = 4, ntyp = 3
/
ATOMIC_SPECIES
Pt 195.08 Pt.upf
Re 186.21 Re.upf
W 183.84 W.upf
CELL_PARAMETERS angstrom
3.414 0.000 0.000
0.000 3.414 0.000
0.000 0.000 5.416
ATOMIC_POSITIONS angstrom
Pt 0.000 0.000 2.705
Re 1.707 1.707 1.354
Pt 0.000 0.000 0.004
W 1.707 1.707 4.062
```


Entry 9:
The following is a PBE-GGA calculation of RePt2W after structural relaxation, from Alexandria. Values from VASP.

Crystal system = monoclinic
Excess energy over the best structure of this formula in the dataset = 8.8 kJ/mol of atoms
Spin magnetization = 0.00 μB per formula unit
ΔH_f (0 K) = -0.045 eV/atom
Density of states at the Fermi level = 0.966 states/eV per atom

Cell and atoms, written as Quantum ESPRESSO input:
```
&SYSTEM
  ibrav = 0, nat = 4, ntyp = 3
/
ATOMIC_SPECIES
Re 186.21 Re.upf
Pt 195.08 Pt.upf
W 183.84 W.upf
CELL_PARAMETERS angstrom
4.862 0.003 -0.005
4.067 2.664 -0.005
0.796 0.238 4.768
ATOMIC_POSITIONS angstrom
Re 7.294 2.178 3.569
Pt 0.805 0.240 4.759
Pt 4.854 1.450 2.389
W 2.431 0.726 1.190
```


Entry 10:
The following is a PBE-GGA calculation of RePt2W after structural relaxation, from Alexandria. Values from VASP.

Crystal system = cubic
Excess energy over the best structure of this formula in the dataset = 27.7 kJ/mol of atoms
Spin magnetization = 0.00 μB per formula unit
ΔH_f (0 K) = 0.151 eV/atom
Density of states at the Fermi level = 0.785 states/eV per atom

Cell and atoms, written as Quantum ESPRESSO input:
```
&SYSTEM
  ibrav = 0, nat = 4, ntyp = 3
/
ATOMIC_SPECIES
W 183.84 W.upf
Pt 195.08 Pt.upf
Re 186.21 Re.upf
CELL_PARAMETERS angstrom
4.464 0.000 0.000
2.232 3.866 0.000
2.232 1.289 3.645
ATOMIC_POSITIONS angstrom
W 6.697 3.866 2.734
Pt 0.000 0.000 0.000
Re 4.464 2.578 1.823
Pt 2.232 1.289 0.911
```


Entry 11:
The following is a PBE-GGA calculation of Re2Pt2W after structural relaxation, from Alexandria. Values from VASP.

Crystal system = tetragonal
Excess energy over the best structure of this formula in the dataset = 0.0 kJ/mol of atoms
Spin magnetization = 0.00 μB per formula unit
ΔH_f (0 K) = 0.401 eV/atom
Density of states at the Fermi level = 0.810 states/eV per atom

Cell and atoms, written as Quantum ESPRESSO input:
```
&SYSTEM
  ibrav = 0, nat = 10, ntyp = 3
/
ATOMIC_SPECIES
Re 186.21 Re.upf
Pt 195.08 Pt.upf
W 183.84 W.upf
CELL_PARAMETERS angstrom
7.164 0.000 0.000
0.000 7.164 0.000
0.000 0.000 3.151
ATOMIC_POSITIONS angstrom
Re 0.881 2.701 0.000
Pt 1.256 4.838 1.575
Re 2.701 6.283 0.000
Pt 4.838 5.908 1.575
Re 4.464 0.881 0.000
Pt 2.326 1.256 1.575
Pt 5.908 2.326 1.575
Re 6.283 4.464 0.000
W 3.582 3.582 0.000
W 0.000 0.000 0.000
```


Entry 12:
The following is a PBE-GGA calculation of RePt2W after structural relaxation, from Alexandria. Values from VASP.

Crystal system = tetragonal
Excess energy over the best structure of this formula in the dataset = 69.3 kJ/mol of atoms
Spin magnetization = 0.00 μB per formula unit
ΔH_f (0 K) = 0.582 eV/atom
Density of states at the Fermi level = 1.039 states/eV per atom

Cell and atoms, written as Quantum ESPRESSO input:
```
&SYSTEM
  ibrav = 0, nat = 8, ntyp = 3
/
ATOMIC_SPECIES
W 183.84 W.upf
Re 186.21 Re.upf
Pt 195.08 Pt.upf
CELL_PARAMETERS angstrom
7.132 0.000 0.000
0.000 7.132 0.000
3.566 3.566 2.675
ATOMIC_POSITIONS angstrom
W 3.566 3.566 0.000
Re 7.132 3.566 1.337
W 3.566 7.132 1.337
Re 0.000 0.000 0.000
Pt 5.349 5.346 2.006
Pt 5.352 1.783 0.669
Pt 8.914 8.917 2.006
Pt 1.780 5.349 0.669
```


density of states at the Fermi level of number 9 (RePt2W)? 0.966 states/eV per atom